Record 1
DFT (PBE) results for IrOsO2 after structural relaxation.

Cell lengths 6.926, 6.926, 6.926 Å; angles 23.08, 23.08, 23.08 degrees
Fractional positions:
O: 0.099 0.099 0.099
O: 0.901 0.901 0.901
Os: 0.500 0.500 0.500
Ir: 0.000 0.000 0.000

Values from the calculation:
Energy relative to the elements, uncorrected = -0.1893 eV per atom
ΔE to the lowest computed polymorph = 0.00 kcal/mol of atoms
Total energy = -7.691 eV/atom

Record 2
DFT (PBE) results for Rb3Th3TiTe8 after structural relaxation.

Cell lengths 8.840, 8.840, 10.293 Å; angles 115.43, 90.00, 120.00 degrees
Fractional positions:
Te: 0.262 0.525 0.287
Te: 0.223 0.445 0.695
Te: 0.738 0.475 0.713
Te: 0.223 0.972 0.695
Te: 0.777 0.555 0.305
Te: 0.749 0.972 0.695
Te: 0.777 0.028 0.305
Te: 0.251 0.028 0.305
Ti: 0.000 0.000 0.500
Rb: 0.000 0.500 0.000
Rb: 0.000 0.000 0.000
Rb: 0.500 0.500 0.000
Th: 0.500 0.000 0.500
Th: 0.000 0.500 0.500
Th: 0.500 0.500 0.500

Values from the calculation:
Energy relative to the elements, uncorrected = -1.0887 eV per atom
Total energy = -4.968 eV/atom

Record 3
DFT (PBE) results for Tc2AsAu after structural relaxation.

Cell lengths 4.887, 4.887, 4.887 Å; angles 132.34, 132.34, 69.69 degrees
Fractional positions:
As: 0.500 0.500 0.000
Tc: 0.250 0.750 0.500
Tc: 0.000 0.000 0.000
Au: 0.750 0.250 0.500

Values from the calculation:
ΔH_f (0 K) = 156 kJ/mol of formula units
Total energy = -6.761 eV/atom